Ca2CdHPd: relaxed, PBE-GGA.

Unit cell a=4.853 b=4.853 c=4.208 alpha=90.00 beta=90.00 gamma=90.00
Atoms (fractional coordinates):
Ca: 0.000 0.500 0.000
Ca: 0.500 0.000 0.000
Cd: 0.000 0.000 0.500
H: 0.000 0.000 0.000
Pd: 0.500 0.500 0.500

E   -3.0720 eV per atom
Crystal system   tetragonal
Symmetry   P4/mmm (123)
Volume   99 Å³ per cell
Distance to the lowest polymorph of the same formula   97 meV/atom

=====

Cs2LaZnW: relaxed, PBE-GGA.

Unit cell a=6.422 b=6.422 c=6.062 alpha=90.00 beta=90.00 gamma=90.00
Atoms (fractional coordinates):
Cs: 0.000 0.500 0.000
Cs: 0.500 0.000 0.000
La: 0.000 0.000 0.500
Zn: 0.000 0.000 0.000
W: 0.500 0.500 0.500

E   -2.5273 eV per atom
Crystal system   tetragonal
Symmetry   P4/mmm (123)
Volume   250 Å³ per cell
Calculated formation energy   1645 meV/atom

=====

Be2OF: relaxed, PBE-GGA.

Unit cell a=4.964 b=4.964 c=4.964 alpha=130.45 beta=130.45 gamma=72.69
Atoms (fractional coordinates):
Be: 0.071 0.625 0.946
Be: 0.375 0.321 0.446
Be: 0.679 0.125 0.054
Be: 0.875 0.929 0.554
O: 0.000 0.000 0.000
O: 0.750 0.250 0.500
F: 0.250 0.750 0.500
F: 0.500 0.500 0.000

E   -5.3258 eV per atom
Crystal system   tetragonal
Symmetry   I-42d (122)
Volume   69 Å³ per cell
Formation energy (no corrections)   -1.755 eV per atom
Distance to the lowest polymorph of the same formula   0 meV/atom